{
  "formula": "CeTlAgSn",
  "functional": "PBE-GGA",
  "state": "relaxed",
  "lattice_angstrom": [[5.2387, 0.0000, 0.0000], [2.6193, 4.5368, 0.0000], [2.6193, 1.5123, 4.2774]],
  "species": ["Ag", "Tl", "Sn", "Ce"],
  "frac_coords": [[0.5000, 0.5000, 0.5000], [0.7500, 0.7500, 0.7500], [0.2500, 0.2500, 0.2500], [0.0000, 0.0000, 0.0000]],
  "rho_g_cm3": 9.33,
  "m_tot_mub_per_cell": 0.92,
  "ef_kj_per_mol_atoms": -19.7,
  "energy_ev_per_atom": -3.99,
  "space_group": "F-43m"
}


{
  "formula": "Sr2SnHg6Au",
  "functional": "PBE-GGA",
  "state": "relaxed",
  "lattice_angstrom": [[5.9157, 0.0000, 0.0000], [0.0000, 11.2503, 0.0000], [0.0000, 0.0000, 8.9787]],
  "species": ["Sr", "Sr", "Sr", "Sr", "Sn", "Sn", "Hg", "Hg", "Hg", "Hg", "Hg", "Hg", "Hg", "Hg", "Hg", "Hg", "Hg", "Hg", "Au", "Au"],
  "frac_coords": [[0.5000, 0.7263, 0.2445], [0.0000, 0.2737, 0.7445], [0.5000, 0.7263, 0.7555], [0.0000, 0.2737, 0.2555], [0.0000, 0.7145, 0.5000], [0.5000, 0.2855, 0.0000], [0.5000, 0.1035, 0.2228], [0.5000, 0.1035, 0.7772], [0.0000, 0.8965, 0.2772], [0.0000, 0.8965, 0.7228], [0.2447, 0.0534, 0.5000], [0.7553, 0.0534, 0.5000], [0.2512, 0.4895, 0.5000], [0.7488, 0.4895, 0.5000], [0.7512, 0.5105, 0.0000], [0.2488, 0.5105, 0.0000], [0.2553, 0.9466, 0.0000], [0.7447, 0.9466, 0.0000], [0.5000, 0.2770, 0.5000], [0.0000, 0.7230, 0.0000]],
  "rho_g_cm3": 9.42,
  "m_tot_mub_per_cell": 0.00,
  "ef_kj_per_mol_atoms": -21.2,
  "energy_ev_per_atom": -1.47,
  "space_group": "Pmmn"
}


{
  "formula": "ScAl2Ir",
  "functional": "PBE-GGA",
  "state": "relaxed",
  "lattice_angstrom": [[3.0965, 0.0000, 0.0000], [0.0000, 3.0971, 0.0000], [0.0000, 0.0000, 6.8786]],
  "species": ["Sc", "Ir", "Al", "Al"],
  "frac_coords": [[0.5000, 0.5000, 0.7333], [0.0000, 0.0000, 0.4655], [0.0000, 0.0000, 0.0285], [0.5000, 0.5000, 0.2727]],
  "rho_g_cm3": 7.33,
  "m_tot_mub_per_cell": 0.00,
  "ef_kj_per_mol_atoms": -61.9,
  "energy_ev_per_atom": -6.31,
  "space_group": "P4mm"
}


{
  "formula": "ZrTcMo2",
  "functional": "PBE-GGA",
  "state": "relaxed",
  "lattice_angstrom": [[2.8329, -0.0071, 0.0000], [-1.0208, 2.6426, 0.0000], [0.0000, 0.0000, 8.9907]],
  "species": ["Mo", "Mo", "Tc", "Zr"],
  "frac_coords": [[0.0000, 0.0000, 0.0145], [0.5000, 0.5000, 0.2527], [0.0000, 0.0000, 0.4878], [0.5000, 0.5000, 0.7450]],
  "rho_g_cm3": 9.41,
  "m_tot_mub_per_cell": 0.00,
  "ef_kj_per_mol_atoms": 2.6,
  "energy_ev_per_atom": -10.12,
  "e_above_lowest_polymorph_ev_per_atom": 0.148,
  "space_group": "Cmm2"
}


{
  "formula": "LuHfGa",
  "functional": "PBE-GGA",
  "state": "relaxed",
  "lattice_angstrom": [[3.4058, 0.0000, 0.0000], [0.0000, 4.7970, 0.0000], [0.0000, -2.3985, 4.1543]],
  "species": ["Lu", "Hf", "Ga"],
  "frac_coords": [[0.6513, 0.6667, 0.3333], [0.1412, 0.0000, 0.0000], [0.2075, 0.3333, 0.6667]],
  "rho_g_cm3": 10.35,
  "m_tot_mub_per_cell": 0.00,
  "ef_kj_per_mol_atoms": -13.3,
  "energy_ev_per_atom": -5.97,
  "e_above_lowest_polymorph_ev_per_atom": 0.165,
  "space_group": "P3m1"
}


{
  "formula": "AlZn2Ga",
  "functional": "PBE-GGA",
  "state": "relaxed",
  "lattice_angstrom": [[0.3618, -3.9918, -2.2193], [-1.7816, -3.8057, 1.8257], [-3.7110, -1.9215, -1.8781]],
  "species": ["Zn", "Zn", "Al", "Ga"],
  "frac_coords": [[0.2500, 0.2500, 0.2500], [0.7500, 0.7500, 0.7500], [0.0000, 0.0000, 0.0000], [0.5000, 0.5000, 0.5000]],
  "rho_g_cm3": 5.56,
  "m_tot_mub_per_cell": 0.00,
  "ef_kj_per_mol_atoms": 11.4,
  "energy_ev_per_atom": -2.21,
  "e_above_lowest_polymorph_ev_per_atom": 0.092,
  "space_group": "Fm-3m"
}


{
  "formula": "Zr2MnVH",
  "functional": "PBE-GGA",
  "state": "relaxed",
  "lattice_angstrom": [[-4.0495, 0.7583, -2.0951], [-2.2281, -1.3961, 3.8013], [-0.0067, 3.1886, 1.1672]],
  "species": ["H", "Mn", "Zr", "Zr", "V"],
  "frac_coords": [[0.0000, 0.0000, 0.0000], [0.0000, 0.0000, 0.5000], [0.0000, 0.5000, 0.0000], [0.5000, 0.0000, 0.0000], [0.5000, 0.5000, 0.5000]],
  "rho_g_cm3": 6.62,
  "m_tot_mub_per_cell": 2.99,
  "energy_ev_per_atom": -7.79,
  "e_above_lowest_polymorph_ev_per_atom": 0.000,
  "space_group": "P4/mmm"
}


{
  "formula": "Th5Sn2Ru",
  "functional": "PBE-GGA",
  "state": "relaxed",
  "lattice_angstrom": [[7.6659, 0.0000, 0.0008], [0.0002, 7.6659, -0.0009], [-3.8323, -3.8332, 4.0251]],
  "species": ["Th", "Th", "Th", "Th", "Th", "Sn", "Sn", "Ru"],
  "frac_coords": [[0.7497, 0.2493, 0.9990], [0.2493, 0.2493, 0.9990], [0.7497, 0.7497, 0.9990], [0.2493, 0.7497, 0.9990], [0.7111, 0.7111, 0.4221], [0.2465, 0.7465, 0.4929], [0.7465, 0.2464, 0.4929], [0.0750, 0.0750, 0.1501]],
  "rho_g_cm3": 10.52,
  "m_tot_mub_per_cell": 0.00,
  "ef_kj_per_mol_atoms": -22.0,
  "energy_ev_per_atom": -7.03,
  "space_group": "I4mm"
}